## Cd2SbCl (PBE)

Data for a geometry-optimized Cd2SbCl structure.

a b c (Å): 7.2208 7.2208 7.2208
angles (deg): 155.32 138.85 48.57
Fractional positions:
Cd: 0.2210 0.2210 0.0000
Cd: 0.7790 0.7790 0.0000
Sb: 0.0000 0.5000 0.5000
Cl: 0.5000 0.0000 0.5000

- Uncorrected formation energy: -0.06 eV per atom
- Volume: 103.1 Å³ per cell
- Electronic total energy: -2.010 eV/atom
- Energy relative to the lowest polymorph listed for this composition: 0.3240 eV/atom

---

## CdSbCl2 (PBE)

Data for a geometry-optimized CdSbCl2 structure.

a b c (Å): 6.0944 3.8905 6.7091
angles (deg): 90.00 116.83 90.00
Fractional positions:
Cd: 0.0000 0.0000 0.0000
Sb: 0.5000 0.0000 0.0000
Cl: 0.3435 0.5000 0.6867
Cl: 0.6565 0.5000 0.3133

- Uncorrected formation energy: -0.43 eV per atom
- Volume: 142.0 Å³ per cell
- Electronic total energy: -2.612 eV/atom
- Energy relative to the lowest polymorph listed for this composition: 0.0736 eV/atom

---

## Cd2SbCl (PBE)

Data for a geometry-optimized Cd2SbCl structure.

a b c (Å): 9.5822 9.5822 9.5822
angles (deg): 21.15 21.15 21.15
Fractional positions:
Cd: 0.2430 0.2430 0.2430
Cd: 0.7570 0.7570 0.7570
Sb: 0.0000 0.0000 0.0000
Cl: 0.5000 0.5000 0.5000

- Uncorrected formation energy: -0.14 eV per atom
- Volume: 100.3 Å³ per cell
- Electronic total energy: -2.094 eV/atom
- Energy relative to the lowest polymorph listed for this composition: 0.2403 eV/atom

---

## Cd2SbCl (PBE)

Data for a geometry-optimized Cd2SbCl structure.

a b c (Å): 5.3579 5.3579 3.4049
angles (deg): 90.00 90.00 90.00
Fractional positions:
Cd: 0.0000 0.5000 0.0000
Cd: 0.5000 0.0000 0.0000
Sb: 0.0000 0.0000 0.5000
Cl: 0.5000 0.5000 0.5000

- Uncorrected formation energy: -0.19 eV per atom
- Volume: 97.7 Å³ per cell
- Electronic total energy: -2.136 eV/atom
- Energy relative to the lowest polymorph listed for this composition: 0.1977 eV/atom

---

## CdSbCl2 (PBE)

Data for a geometry-optimized CdSbCl2 structure.

a b c (Å): 8.0749 8.0749 8.0749
angles (deg): 97.40 97.40 137.92
Fractional positions:
Cd: 0.3750 0.6250 0.7500
Cd: 0.6250 0.3750 0.2500
Sb: 0.1250 0.8750 0.2500
Sb: 0.8750 0.1250 0.7500
Cl: 0.0000 0.0000 0.0000
Cl: 0.0000 0.0000 0.5000
Cl: 0.0000 0.5000 0.0000
Cl: 0.5000 0.0000 0.5000

- Uncorrected formation energy: -0.33 eV per atom
- Volume: 329.3 Å³ per cell
- Electronic total energy: -2.513 eV/atom
- Energy relative to the lowest polymorph listed for this composition: 0.1722 eV/atom

---

## Cd2Sb2Cl (PBE)

Data for a geometry-optimized Cd2Sb2Cl structure.

a b c (Å): 8.9276 8.9276 3.2924
angles (deg): 90.00 90.00 90.00
Fractional positions:
Cd: 0.1656 0.3344 0.0000
Cd: 0.3344 0.8344 0.0000
Cd: 0.6656 0.1656 0.0000
Cd: 0.8344 0.6656 0.0000
Sb: 0.1340 0.6340 0.5000
Sb: 0.3660 0.1340 0.5000
Sb: 0.6340 0.8660 0.5000
Sb: 0.8660 0.3660 0.5000
Cl: 0.0000 0.0000 0.0000
Cl: 0.5000 0.5000 0.0000

- Uncorrected formation energy: 0.01 eV per atom
- Volume: 262.4 Å³ per cell
- Electronic total energy: -2.376 eV/atom
- Energy relative to the lowest polymorph listed for this composition: 0.1996 eV/atom

---

## Cd4SbCl (PBE)

Data for a geometry-optimized Cd4SbCl structure.

a b c (Å): 5.9351 5.9351 5.9351
angles (deg): 60.00 60.00 60.00
Fractional positions:
Cd: 0.1249 0.1249 0.1249
Cd: 0.1249 0.1249 0.6253
Cd: 0.1249 0.6253 0.1249
Cd: 0.6253 0.1249 0.1249
Sb: 0.5000 0.5000 0.5000
Cl: 0.7500 0.7500 0.7500

- Uncorrected formation energy: -0.02 eV per atom
- Volume: 147.8 Å³ per cell
- Electronic total energy: -1.625 eV/atom

---

## Cd2SbCl (PBE)

Data for a geometry-optimized Cd2SbCl structure.

a b c (Å): 3.2672 3.2672 9.5887
angles (deg): 90.00 90.00 90.00
Fractional positions:
Cd: 0.0000 0.0000 0.0000
Cd: 0.5000 0.5000 0.2309
Sb: 0.5000 0.5000 0.7572
Cl: 0.0000 0.0000 0.4027

- Uncorrected formation energy: -0.15 eV per atom
- Volume: 102.4 Å³ per cell
- Electronic total energy: -2.096 eV/atom
- Energy relative to the lowest polymorph listed for this composition: 0.2377 eV/atom